# Nd2RuAu

Nd2RuAu after structural relaxation (PBE, Alexandria via LeMat-Bulk).

Structure (CIF):
```
data_Nd2RuAu
_chemical_formula_sum 'Nd2 Ru1 Au1'
_cell_length_a 3.543
_cell_length_b 3.543
_cell_length_c 7.565
_cell_angle_alpha 90.00
_cell_angle_beta 90.00
_cell_angle_gamma 90.00
_symmetry_space_group_name_H-M 'P 4/m m m'
_symmetry_Int_Tables_number 123
_symmetry_space_group_name_Hall '-P 4 2'
loop_
_atom_site_label
_atom_site_type_symbol
_atom_site_fract_x
_atom_site_fract_y
_atom_site_fract_z
Nd1 Nd 0.000 0.000 0.231
Ru1 Ru 0.500 0.500 0.000
Au1 Au 0.500 0.500 0.500
```

**Energy of formation from the pure elements**: -477 meV/atom